No. 1
Computed, not measured: VTc2S4 after structural relaxation at the PBE level of DFT. Values from VASP.

```
&SYSTEM
  ibrav = 0, nat = 7, ntyp = 3
/
ATOMIC_SPECIES
S 32.06 S.upf
V 50.94 V.upf
Tc 98.00 Tc.upf
CELL_PARAMETERS angstrom
4.669 0.000 0.000
0.000 4.669 0.000
2.335 2.335 5.783
ATOMIC_POSITIONS angstrom
S 2.335 2.335 3.425
S 0.000 2.335 0.000
S 2.335 0.000 0.000
S 4.669 4.669 2.358
V 0.000 0.000 0.000
Tc 4.669 4.669 4.565
Tc 2.335 2.335 1.218
```

Output
- space group = I4/mmm
- volume (Å³/atom) = 18.01
- formation energy from raw total energies (eV per atom) = 0.2313

***

No. 2
Computed, not measured: LaNdHo3Er after structural relaxation at the PBE level of DFT. Values from VASP.

```
&SYSTEM
  ibrav = 0, nat = 12, ntyp = 4
/
ATOMIC_SPECIES
Nd 144.24 Nd.upf
Ho 164.93 Ho.upf
La 138.91 La.upf
Er 167.26 Er.upf
CELL_PARAMETERS angstrom
-1.620 5.398 1.709
-0.117 -4.646 4.417
11.163 2.443 2.865
ATOMIC_POSITIONS angstrom
Nd 5.582 1.221 1.432
Nd 0.000 0.000 0.000
Ho 10.012 4.455 5.563
Ho 4.963 -0.047 4.852
Ho 1.377 2.040 5.008
Ho 8.050 1.155 3.983
Ho -0.585 -1.261 3.428
Ho 4.464 3.241 4.139
La 7.449 -0.109 7.403
La 1.978 3.303 1.588
Er 2.472 -0.058 2.528
Er 6.954 3.253 6.463
```

Output
- space group = Cmcm
- volume (Å³/atom) = 32.93
- formation energy from the elements (eV per atom) = 0.110

***

No. 3
Computed, not measured: NaCaCdGe after structural relaxation at the PBE level of DFT. Values from VASP.

```
&SYSTEM
  ibrav = 0, nat = 4, ntyp = 4
/
ATOMIC_SPECIES
Na 22.99 Na.upf
Ca 40.08 Ca.upf
Ge 72.64 Ge.upf
Cd 112.41 Cd.upf
CELL_PARAMETERS angstrom
5.171 0.000 0.000
2.585 4.478 0.000
2.585 1.493 4.222
ATOMIC_POSITIONS angstrom
Na 2.585 1.493 1.055
Ca 7.756 4.478 3.166
Ge 5.171 2.985 2.111
Cd 0.000 0.000 0.000
```

Output
- space group = F-43m
- volume (Å³/atom) = 24.44
- formation energy from the elements (eV per atom) = -0.231

***

No. 4
Computed, not measured: ThZrCu3 after structural relaxation at the PBE level of DFT. Values from VASP.

```
&SYSTEM
  ibrav = 0, nat = 10, ntyp = 3
/
ATOMIC_SPECIES
Th 232.04 Th.upf
Cu 63.55 Cu.upf
Zr 91.22 Zr.upf
CELL_PARAMETERS angstrom
3.351 0.000 -0.461
0.000 4.302 0.000
0.082 0.000 12.997
ATOMIC_POSITIONS angstrom
Th 0.269 1.076 1.952
Th 3.165 3.227 10.584
Cu 1.669 1.076 12.124
Cu 1.129 3.227 8.199
Cu 1.764 3.227 0.411
Cu 2.304 1.076 4.337
Cu 1.319 1.076 9.577
Cu 2.115 3.227 2.959
Zr 2.686 1.076 7.111
Zr 0.747 3.227 5.425
```

Output
- space group = Cmcm
- volume (Å³/atom) = 18.75
- formation energy from the elements (eV per atom) = -0.154

***

No. 5
Computed, not measured: MgMnSi2 after structural relaxation at the PBE level of DFT. Values from VASP.

```
&SYSTEM
  ibrav = 0, nat = 4, ntyp = 3
/
ATOMIC_SPECIES
Mg 24.30 Mg.upf
Mn 54.94 Mn.upf
Si 28.09 Si.upf
CELL_PARAMETERS angstrom
-2.224 4.291 -0.943
-4.817 -0.657 -0.783
3.579 -0.527 3.341
ATOMIC_POSITIONS angstrom
Mg -1.083 2.790 0.768
Mn -2.379 0.316 0.847
Si -0.164 0.085 -0.040
Si -3.356 1.732 -0.823
```

Output
- space group = Immm
- volume (Å³/atom) = 14.55
- formation energy from raw total energies (eV per atom) = 0.0865

***

No. 6
Computed, not measured: CuHRh after structural relaxation at the PBE level of DFT. Values from VASP.

```
&SYSTEM
  ibrav = 0, nat = 12, ntyp = 3
/
ATOMIC_SPECIES
H 1.01 H.upf
Rh 102.91 Rh.upf
Cu 63.55 Cu.upf
CELL_PARAMETERS angstrom
-3.400 2.158 -2.637
2.807 -1.044 -4.474
-3.699 -3.393 1.992
ATOMIC_POSITIONS angstrom
H -6.193 -1.602 -1.758
H 1.901 -0.678 -3.361
H -2.918 -0.810 -1.648
H -1.374 -1.470 -3.470
Rh 0.290 -1.197 -2.727
Rh -2.196 -2.490 -2.226
Rh -2.095 0.210 -2.893
Rh -4.582 -1.082 -2.391
Cu -1.123 -0.662 -0.494
Cu -3.589 -1.968 0.024
Cu -3.168 -1.617 -4.625
Cu -0.703 -0.312 -5.142
```

Output
- space group = P2_1/c
- volume (Å³/atom) = 9.80
- relative energy among the computed polymorphs (eV per atom) = 0.019